## HfTa3Ga (GGA-PBE)

Data for HfTa3Ga after structural relaxation.

DOS(E_F) = 3.85 states/eV/cell
calculated volume = 21.5 Å³ per atom
formation energy = 973 meV per atom

POSCAR file:
```
HfTa3Ga
1.0
4.755 0.000 0.000
0.000 4.755 0.000
0.000 0.000 4.755
Hf Ta Ga
1 3 1
Direct
0.000 0.000 0.000
0.000 0.500 0.500
0.500 0.000 0.500
0.500 0.500 0.000
0.500 0.500 0.500
```